# 1
# SbSe | the Alexandria database | GGA-PBE | optimized geometry
data_SbSe
_chemical_formula_sum 'Sb6 Se6'
_cell_length_a 8.170
_cell_length_b 8.170
_cell_length_c 8.170
_cell_angle_alpha 90.00
_cell_angle_beta 90.00
_cell_angle_gamma 90.00
_space_group_name_H-M_alt 'P m -3 n'
_space_group_IT_number 223
_space_group_name_Hall '-P 4n 2 3'
loop_
_atom_site_label
_atom_site_fract_x
_atom_site_fract_y
_atom_site_fract_z
Sb1 0.000 0.250 0.500
Se1 0.000 0.500 0.250
# Crystal system   cubic

***

# 2
# LiAgCl2 | the Alexandria database | GGA-PBE | optimized geometry
data_LiAgCl2
_chemical_formula_sum 'Li4 Ag4 Cl8'
_cell_length_a 5.839
_cell_length_b 5.839
_cell_length_c 11.300
_cell_angle_alpha 90.00
_cell_angle_beta 90.00
_cell_angle_gamma 90.00
_space_group_name_H-M_alt 'I -4 2 d'
_space_group_IT_number 122
_space_group_name_Hall 'I -4 2bw'
loop_
_atom_site_label
_atom_site_fract_x
_atom_site_fract_y
_atom_site_fract_z
Li1 0.000 0.000 0.000
Ag1 0.000 0.000 0.500
Cl1 0.216 0.250 0.125
# Crystal system   tetragonal

***

# 3
# TiZnO2 | the Alexandria database | GGA-PBE | optimized geometry
data_TiZnO2
_chemical_formula_sum 'Ti4 Zn4 O8'
_cell_length_a 5.981
_cell_length_b 5.981
_cell_length_c 8.448
_cell_angle_alpha 90.00
_cell_angle_beta 90.00
_cell_angle_gamma 90.00
_space_group_name_H-M_alt 'I -4 2 d'
_space_group_IT_number 122
_space_group_name_Hall 'I -4 2bw'
loop_
_atom_site_label
_atom_site_fract_x
_atom_site_fract_y
_atom_site_fract_z
Ti1 0.000 0.000 0.000
Zn1 0.000 0.000 0.500
O1 0.001 0.750 0.125
# Crystal system   tetragonal

***

| no. | theoretical density (g/cm3) | D(E_F) (states/eV/f.u.) | formation energy (no corrections) (meV per atom) |
| --- | --- | --- | --- |
| 1 | 3.667 | 2.70 | 323 |
| 2 | 3.202 | 0.00 | -1134 |
| 3 | 3.193 | 0.00 | -1993 |